Record 1
{"formula": "VCuO3", "functional": "PBE with a Hubbard U", "state": "optimized geometry", "cell": [[-0.172, 3.613, 0.257], [-4.175, 0.183, -6.081], [-5.986, -3.867, 6.302]], "species": ["V", "V", "V", "V", "O", "O", "O", "O", "O", "O", "O", "O", "O", "O", "O", "O", "Cu", "Cu", "Cu", "Cu"], "frac_coords": [[0.959, 0.774, 0.739], [0.634, 0.577, 0.365], [0.038, 0.219, 0.250], [0.364, 0.420, 0.631], [0.576, 0.277, 0.298], [0.103, 0.726, 0.923], [0.424, 0.711, 0.696], [0.468, 0.614, 0.183], [0.526, 0.384, 0.813], [0.259, 0.190, 0.514], [0.890, 0.272, 0.067], [0.989, 0.015, 0.770], [0.006, 0.982, 0.209], [0.843, 0.488, 0.606], [0.741, 0.794, 0.484], [0.153, 0.501, 0.386], [0.765, 0.065, 0.527], [0.430, 0.158, 0.907], [0.993, 0.502, 0.998], [0.563, 0.834, 0.085]], "n_ef_per_ev_atom": 0.00}

=====

Record 2
{"formula": "V2CuO4", "functional": "PBE with a Hubbard U", "state": "optimized geometry", "cell": [[5.964, 0.134, -0.079], [-0.297, 5.993, 0.087], [-2.750, -3.136, 4.319]], "species": ["O", "O", "O", "O", "O", "O", "O", "O", "V", "V", "V", "V", "Cu", "Cu"], "frac_coords": [[0.398, 0.618, 0.781], [0.839, 0.609, 0.215], [0.392, 0.162, 0.767], [0.387, 0.609, 0.222], [0.411, 0.141, 0.285], [0.858, 0.588, 0.733], [0.863, 0.141, 0.278], [0.852, 0.132, 0.719], [0.625, 0.375, 0.750], [0.125, 0.375, 0.750], [0.625, 0.875, 0.250], [0.625, 0.375, 0.250], [0.249, 0.747, 0.495], [0.001, 0.003, 0.005]], "n_ef_per_ev_atom": 0.45}

=====

Record 3
{"formula": "V3Cu2O9", "functional": "PBE with a Hubbard U", "state": "optimized geometry", "cell": [[7.818, 0.042, -1.729], [-2.323, 6.792, -2.482], [-0.085, 1.193, 7.500]], "species": ["V", "V", "V", "V", "V", "V", "O", "O", "O", "O", "O", "O", "O", "O", "O", "O", "O", "O", "O", "O", "O", "O", "O", "O", "Cu", "Cu", "Cu", "Cu"], "frac_coords": [[0.321, 0.012, 0.711], [0.321, 0.711, 0.012], [0.340, 0.155, 0.155], [0.679, 0.988, 0.289], [0.679, 0.289, 0.988], [0.660, 0.845, 0.845], [0.500, 0.772, 0.228], [0.531, 0.122, 0.332], [0.836, 0.489, 0.999], [0.791, 0.734, 0.734], [0.828, 0.234, 0.234], [0.756, 0.879, 0.094], [0.531, 0.332, 0.122], [0.469, 0.668, 0.878], [0.164, 0.511, 0.001], [0.500, 0.228, 0.772], [0.244, 0.121, 0.906], [0.244, 0.906, 0.121], [0.164, 0.001, 0.511], [0.469, 0.878, 0.668], [0.209, 0.266, 0.266], [0.172, 0.766, 0.766], [0.836, 0.999, 0.489], [0.756, 0.094, 0.879], [0.026, 0.137, 0.367], [0.974, 0.633, 0.863], [0.974, 0.863, 0.633], [0.026, 0.367, 0.137]], "n_ef_per_ev_atom": 0.13}

=====

Record 4
{"formula": "VCuO3", "functional": "PBE with a Hubbard U", "state": "optimized geometry", "cell": [[-2.184, 0.366, -5.103], [1.782, -2.637, -4.563], [-2.672, -4.026, -2.756]], "species": ["Cu", "Cu", "O", "O", "O", "O", "O", "O", "V", "V"], "frac_coords": [[0.139, 0.139, 0.139], [0.861, 0.861, 0.861], [0.285, 0.933, 0.554], [0.933, 0.554, 0.285], [0.715, 0.067, 0.446], [0.067, 0.446, 0.715], [0.554, 0.285, 0.933], [0.446, 0.715, 0.067], [0.352, 0.352, 0.352], [0.648, 0.648, 0.648]]}

=====

Record 5
{"formula": "V2Cu2O7", "functional": "PBE with a Hubbard U", "state": "optimized geometry", "cell": [[-3.835, 3.651, -2.002], [1.442, -1.512, -5.261], [-7.742, -6.047, -2.956]], "species": ["O", "O", "O", "O", "O", "O", "O", "O", "O", "O", "O", "O", "O", "O", "Cu", "Cu", "Cu", "Cu", "V", "V", "V", "V"], "frac_coords": [[0.458, 0.282, 0.603], [0.863, 0.137, 0.250], [0.718, 0.542, 0.897], [0.542, 0.718, 0.397], [0.180, 0.364, 0.865], [0.137, 0.863, 0.750], [0.636, 0.820, 0.635], [0.282, 0.458, 0.103], [0.515, 0.012, 0.873], [0.364, 0.180, 0.365], [0.012, 0.515, 0.373], [0.820, 0.636, 0.135], [0.485, 0.988, 0.127], [0.988, 0.485, 0.627], [0.622, 0.767, 0.013], [0.233, 0.378, 0.487], [0.767, 0.622, 0.513], [0.378, 0.233, 0.987], [0.001, 0.557, 0.787], [0.999, 0.443, 0.213], [0.557, 0.001, 0.287], [0.443, 0.999, 0.713]], "n_ef_per_ev_atom": 0.12}

=====

Record 6
{"formula": "V2Cu2O7", "functional": "PBE with a Hubbard U", "state": "optimized geometry", "cell": [[-3.137, -5.034, -2.748], [5.673, -2.336, 2.256], [-0.976, -7.200, 5.600]], "species": ["V", "V", "V", "V", "O", "O", "O", "O", "O", "O", "O", "O", "O", "O", "O", "O", "O", "O", "Cu", "Cu", "Cu", "Cu"], "frac_coords": [[0.249, 0.264, 0.705], [0.264, 0.249, 0.205], [0.736, 0.751, 0.795], [0.751, 0.736, 0.295], [0.999, 0.645, 0.212], [0.302, 0.154, 0.880], [0.355, 0.001, 0.288], [0.645, 0.999, 0.712], [0.553, 0.350, 0.486], [0.001, 0.355, 0.788], [0.846, 0.698, 0.620], [0.650, 0.447, 0.014], [0.035, 0.965, 0.750], [0.447, 0.650, 0.514], [0.698, 0.846, 0.120], [0.154, 0.302, 0.380], [0.965, 0.035, 0.250], [0.350, 0.553, 0.986], [0.157, 0.688, 0.548], [0.688, 0.157, 0.048], [0.843, 0.312, 0.452], [0.312, 0.843, 0.952]], "n_ef_per_ev_atom": 0.14}

=====

VASP energy (eV/atom)
-6.650 -7.198 -6.694 -6.660 -6.611 -6.589